This record from the Alexandria database describes a PBEsol-optimized structure of CsH2SNO3. The functional is meta-GGA SCAN.

uncorrected energy = -0.8516 Ry per atom
symmetry = Pnma
crystal system = orthorhombic

a = 6.684 Å, b = 8.185 Å, c = 8.590 Å
α = 90.00°, β = 90.00°, γ = 90.00°
Fractional coordinates of all 32 atoms:
Cs 0.750 0.923 0.379
Cs 0.750 0.577 0.879
Cs 0.250 0.077 0.621
Cs 0.250 0.423 0.121
H 0.122 0.082 0.979
H 0.378 0.418 0.479
H 0.622 0.918 0.021
H 0.878 0.582 0.521
H 0.878 0.918 0.021
H 0.622 0.582 0.521
H 0.378 0.082 0.979
H 0.122 0.418 0.479
S 0.250 0.881 0.136
S 0.250 0.619 0.636
S 0.750 0.119 0.864
S 0.750 0.381 0.364
N 0.250 0.010 0.988
N 0.250 0.490 0.488
N 0.750 0.990 0.012
N 0.750 0.510 0.512
O 0.250 0.970 0.284
O 0.250 0.530 0.784
O 0.750 0.030 0.716
O 0.750 0.470 0.216
O 0.434 0.785 0.113
O 0.066 0.715 0.613
O 0.934 0.215 0.887
O 0.566 0.285 0.387
O 0.566 0.215 0.887
O 0.934 0.285 0.387
O 0.066 0.785 0.113
O 0.434 0.715 0.613

=====

This record from the Alexandria database describes a PBEsol-optimized structure of YSe2. The functional is meta-GGA SCAN.

symmetry = Fd-3m
E_form (uncorrected) = -0.2045 eV/atom
crystal system = cubic

a = 5.750 Å, b = 5.750 Å, c = 5.750 Å
α = 60.00°, β = 60.00°, γ = 60.00°
Each line ends with the local moment (μB).
Fractional coordinates of all 6 atoms:
Se 0.125 0.125 0.125  -0.05
Se 0.125 0.125 0.625  -0.05
Se 0.125 0.625 0.125  -0.05
Se 0.625 0.125 0.125  -0.05
Y 0.500 0.500 0.500  0.75
Y 0.750 0.750 0.750  0.75

=====

This record from the Alexandria database describes a PBEsol-optimized structure of RePRhCl2. The functional is meta-GGA SCAN.

symmetry = P4/mmm
E_form (uncorrected) = 1.0718 eV/atom
crystal system = tetragonal

a = 4.569 Å, b = 4.569 Å, c = 4.720 Å
α = 90.00°, β = 90.00°, γ = 90.00°
Each line ends with the local moment (μB).
Fractional coordinates of all 5 atoms:
Re 0.500 0.500 0.500  3.67
Rh 0.000 0.000 0.000  -0.15
P 0.000 0.000 0.500  -0.27
Cl 0.000 0.500 0.000  0.07
Cl 0.500 0.000 0.000  0.07

=====

This record from the Alexandria database describes a PBEsol-optimized structure of P2Os. The functional is meta-GGA SCAN.

symmetry = Pnnm
formation enthalpy at 0 K = -617 meV per atom
crystal system = orthorhombic

a = 2.911 Å, b = 5.092 Å, c = 5.887 Å
α = 90.00°, β = 90.00°, γ = 90.00°
Fractional coordinates of all 6 atoms:
P 0.500 0.338 0.872
P 0.500 0.662 0.128
P 0.000 0.162 0.372
P 0.000 0.838 0.628
Os 0.500 0.500 0.500
Os 0.000 0.000 0.000

=====

This record from the Alexandria database describes a PBEsol-optimized structure of AlBiTe2. The functional is meta-GGA SCAN.

symmetry = R-3m
E_form (uncorrected) = -0.1688 eV/atom
crystal system = trigonal

a = 3.892 Å, b = 3.892 Å, c = 9.525 Å
α = 78.21°, β = 78.21°, γ = 60.00°
Fractional coordinates of all 4 atoms:
Te 0.890 0.890 0.330
Te 0.110 0.110 0.670
Bi 0.000 0.000 0.000
Al 0.500 0.500 0.500

=====

This record from the Alexandria database describes a PBEsol-optimized structure of In2TcRh. The functional is meta-GGA SCAN.

symmetry = P2/m
formation enthalpy at 0 K = 217 meV per atom
crystal system = monoclinic

a = 2.866 Å, b = 4.354 Å, c = 5.460 Å
α = 90.00°, β = 94.96°, γ = 90.00°
Fractional coordinates of all 4 atoms:
In 0.708 0.000 0.751
In 0.292 0.000 0.249
Rh 0.500 0.500 0.000
Tc 0.000 0.500 0.500